The following is a DFT calculation (GGA+U) of crystalline CrNClF2 at its relaxed geometry.

Output
The energy above the most stable polymorph in this dataset comes out at 4.97 eV per formula unit. For the electronic total energy, the calculation gives -3.93 eV per atom. As for the spin magnetization: 4.560 μB per formula unit.

```
CrNClF2
1.0
4.784 0.000 0.000
0.000 4.784 0.000
0.000 0.000 3.274
Cr N Cl F
1 1 1 2
direct
0.000 0.000 0.000
0.500 0.500 0.000
0.500 0.500 0.500
0.000 0.500 0.500
0.500 0.000 0.500
```